Entry from Alexandria: a geometry-optimized Ta2Nb5V structure (PBE-GGA).

Properties
ΔE_f = 0.01 eV/atom

Cell and atoms, written as CIF:
```
data_Ta2Nb5V
_space_group_name_H-M_alt 'I 4/m m m'
_space_group_IT_number 139
_space_group_name_Hall '-I 4 2'
_cell_length_a 4.639
_cell_length_b 4.639
_cell_length_c 13.186
_cell_angle_alpha 90.00
_cell_angle_beta 90.00
_cell_angle_gamma 90.00
loop_
_atom_site_label
_atom_site_type_symbol
_atom_site_fract_x
_atom_site_fract_y
_atom_site_fract_z
Ta1 Ta 0.000 0.000 0.248
Nb1 Nb 0.000 0.000 0.500
Nb2 Nb 0.000 0.500 0.122
V1 V 0.000 0.000 0.000
```

Entry from Alexandria: a geometry-optimized CrAsP structure (PBE-GGA).

Properties
excess energy over the best structure of this formula in the dataset = 616 meV per atom
ΔE_f = 0.42 eV/atom

Cell and atoms, written as CIF:
```
data_CrAsP
_space_group_name_H-M_alt 'F -4 3 m'
_space_group_IT_number 216
_space_group_name_Hall 'F -4 2 3'
_cell_length_a 5.930
_cell_length_b 5.930
_cell_length_c 5.930
_cell_angle_alpha 90.00
_cell_angle_beta 90.00
_cell_angle_gamma 90.00
loop_
_atom_site_label
_atom_site_type_symbol
_atom_site_fract_x
_atom_site_fract_y
_atom_site_fract_z
Cr1 Cr 0.000 0.000 0.000
As1 As 0.000 0.000 0.500
P1 P 0.250 0.250 0.750
```

Entry from Alexandria: a geometry-optimized Ac6Si2IrI3 structure (PBE-GGA).

Properties
raw formation energy = -10.93 eV per formula unit

Cell and atoms, written as CIF:
```
data_Ac6Si2IrI3
_space_group_name_H-M_alt 'C 1 2/m 1'
_space_group_IT_number 12
_space_group_name_Hall '-C 2y'
_cell_length_a 7.995
_cell_length_b 13.707
_cell_length_c 8.560
_cell_angle_alpha 90.00
_cell_angle_beta 108.08
_cell_angle_gamma 90.00
loop_
_atom_site_label
_atom_site_type_symbol
_atom_site_fract_x
_atom_site_fract_y
_atom_site_fract_z
Ac1 Ac 0.223 0.159 0.192
Ac2 Ac 0.245 0.500 0.200
Si1 Si 0.000 0.334 0.000
Ir1 Ir 0.000 0.000 0.000
I1 I 0.000 0.176 0.500
I2 I 0.000 0.500 0.500
```

Entry from Alexandria: a geometry-optimized SrSc2Hg structure (PBE-GGA).

Properties
excess energy over the best structure of this formula in the dataset = 255 meV per atom
ΔE_f = 0.14 eV/atom

Cell and atoms, written as CIF:
```
data_SrSc2Hg
_space_group_name_H-M_alt 'F m -3 m'
_space_group_IT_number 225
_space_group_name_Hall '-F 4 2 3'
_cell_length_a 7.468
_cell_length_b 7.468
_cell_length_c 7.468
_cell_angle_alpha 90.00
_cell_angle_beta 90.00
_cell_angle_gamma 90.00
loop_
_atom_site_label
_atom_site_type_symbol
_atom_site_fract_x
_atom_site_fract_y
_atom_site_fract_z
Sr1 Sr 0.000 0.000 0.000
Sc1 Sc 0.250 0.250 0.250
Hg1 Hg 0.000 0.000 0.500
```

Entry from Alexandria: a geometry-optimized Ti3Ga2Pt8 structure (PBE-GGA).

Properties
ΔE_f = -0.48 eV/atom

Cell and atoms, written as CIF:
```
data_Ti3Ga2Pt8
_space_group_name_H-M_alt 'R -3 m'
_space_group_IT_number 166
_space_group_name_Hall '-R 3 2"'
_cell_length_a 5.2516
_cell_length_b 5.2516
_cell_length_c 27.9224
_cell_angle_alpha 90.00
_cell_angle_beta 90.00
_cell_angle_gamma 120.00
loop_
_atom_site_label
_atom_site_type_symbol
_atom_site_fract_x
_atom_site_fract_y
_atom_site_fract_z
Ti1 Ti 0.0000 0.0000 0.0000
Ti2 Ti 0.0000 0.0000 0.1894
Ga1 Ga 0.0000 0.0000 0.3681
Pt1 Pt 0.0000 0.0000 0.2824
Pt2 Pt 0.0013 0.5006 0.7759
```

Entry from Alexandria: a geometry-optimized CdCo2Ag structure (PBE-GGA).

Properties
ΔE_f = 0.42 eV/atom

Cell and atoms, written as CIF:
```
data_CdCo2Ag
_space_group_name_H-M_alt 'C 1 2/m 1'
_space_group_IT_number 12
_space_group_name_Hall '-C 2y'
_cell_length_a 9.333
_cell_length_b 2.812
_cell_length_c 4.713
_cell_angle_alpha 90.00
_cell_angle_beta 101.01
_cell_angle_gamma 90.00
loop_
_atom_site_label
_atom_site_type_symbol
_atom_site_fract_x
_atom_site_fract_y
_atom_site_fract_z
Cd1 Cd 0.000 0.000 0.000
Co1 Co 0.249 0.000 0.741
Ag1 Ag 0.000 0.500 0.500
```

Entry from Alexandria: a geometry-optimized FeSi2Au structure (PBE-GGA).

Properties
raw formation energy = 0.93 eV per formula unit
excess energy over the best structure of this formula in the dataset = 313 meV per atom

Cell and atoms, written as CIF:
```
data_FeSi2Au
_space_group_name_H-M_alt 'P 4 m m'
_space_group_IT_number 99
_space_group_name_Hall 'P 4 -2'
_cell_length_a 2.754
_cell_length_b 2.754
_cell_length_c 7.614
_cell_angle_alpha 90.00
_cell_angle_beta 90.00
_cell_angle_gamma 90.00
loop_
_atom_site_label
_atom_site_type_symbol
_atom_site_fract_x
_atom_site_fract_y
_atom_site_fract_z
Fe1 Fe 0.000 0.000 0.000
Si1 Si 0.000 0.000 0.438
Si2 Si 0.500 0.500 0.191
Au1 Au 0.500 0.500 0.735
```

Entry from Alexandria: a geometry-optimized Sc2Al8Zn structure (PBE-GGA).

Properties
ΔE_f = -0.12 eV/atom

Cell and atoms, written as CIF:
```
data_Sc2Al8Zn
_space_group_name_H-M_alt 'C 1 2/m 1'
_space_group_IT_number 12
_space_group_name_Hall '-C 2y'
_cell_length_a 13.594
_cell_length_b 5.399
_cell_length_c 5.437
_cell_angle_alpha 90.00
_cell_angle_beta 97.66
_cell_angle_gamma 90.00
loop_
_atom_site_label
_atom_site_type_symbol
_atom_site_fract_x
_atom_site_fract_y
_atom_site_fract_z
Sc1 Sc 0.196 0.000 0.348
Al1 Al 0.085 0.500 0.380
Al2 Al 0.090 0.251 0.861
Al3 Al 0.238 0.500 0.132
Zn1 Zn 0.000 0.000 0.500
```

Entry from Alexandria: a geometry-optimized CdSb2TeC structure (PBE-GGA).

Properties
raw formation energy = 10.16 eV per formula unit
excess energy over the best structure of this formula in the dataset = 1115 meV per atom

Cell and atoms, written as CIF:
```
data_CdSb2TeC
_space_group_name_H-M_alt 'P 4/m m m'
_space_group_IT_number 123
_space_group_name_Hall '-P 4 2'
_cell_length_a 5.535
_cell_length_b 5.535
_cell_length_c 5.590
_cell_angle_alpha 90.00
_cell_angle_beta 90.00
_cell_angle_gamma 90.00
loop_
_atom_site_label
_atom_site_type_symbol
_atom_site_fract_x
_atom_site_fract_y
_atom_site_fract_z
Cd1 Cd 0.000 0.000 0.000
Sb1 Sb 0.000 0.500 0.000
Te1 Te 0.000 0.000 0.500
C1 C 0.500 0.500 0.500
```